! Na2AgSb, optimized geometry, DFT PBE-GGA; values from VASP
! mass density	4.3	g/cm³
! SG	I-42d (122)
! crystal system	tetragonal
! calculated volume	105.7	Å³/f.u.
! final energy	-2.446	eV per atom
&SYSTEM
  ibrav = 0, nat = 8, ntyp = 3
/
ATOMIC_SPECIES
Sb 121.76 Sb.upf
Ag 107.87 Ag.upf
Na 22.99 Na.upf
CELL_PARAMETERS angstrom
8.6316 0.0000 0.0000
0.0000 8.6316 0.0000
4.3158 4.3158 2.8362
ATOMIC_POSITIONS crystal
Sb 0.0000 0.0000 0.0000
Sb 0.7500 0.2500 0.5000
Ag 0.5000 0.5000 0.0000
Ag 0.2500 0.7500 0.5000
Na 0.6103 0.1250 0.2500
Na 0.1397 0.6250 0.2500
Na 0.3750 0.3897 0.7500
Na 0.8750 0.8603 0.7500

! Rb2TlCoBr6, optimized geometry, DFT PBE-GGA; values from VASP
! mass density	4.5	g/cm³
! SG	P2_1/c (14)
! E above lowest polymorph	0.000	eV/f.u.
! crystal system	monoclinic
! calculated volume	336.6	Å³/f.u.
! final energy	-3.117	eV per atom
&SYSTEM
  ibrav = 0, nat = 20, ntyp = 4
/
ATOMIC_SPECIES
Rb 85.47 Rb.upf
Tl 204.38 Tl.upf
Co 58.93 Co.upf
Br 79.90 Br.upf
CELL_PARAMETERS angstrom
7.7758 0.0000 -0.0404
0.0000 7.8283 0.0000
0.0102 0.0000 11.0602
ATOMIC_POSITIONS crystal
Rb 0.0107 0.9550 0.2484
Rb 0.5107 0.5450 0.7484
Rb 0.9893 0.0450 0.7516
Rb 0.4893 0.4550 0.2516
Tl 0.5000 0.0000 0.0000
Tl 0.0000 0.5000 0.5000
Co 0.5000 0.0000 0.5000
Co 0.0000 0.5000 0.0000
Br 0.2528 0.6810 0.0304
Br 0.7528 0.8190 0.5304
Br 0.7472 0.3190 0.9696
Br 0.2472 0.1810 0.4696
Br 0.3211 0.7453 0.4744
Br 0.8211 0.7547 0.9744
Br 0.6789 0.2547 0.5256
Br 0.1789 0.2453 0.0256
Br 0.9452 0.5013 0.2177
Br 0.4452 0.9987 0.7177
Br 0.0548 0.4987 0.7823
Br 0.5548 0.0013 0.2823

! Co2HgW, optimized geometry, DFT PBE-GGA; values from VASP
! mass density	14.2	g/cm³
! SG	P4mm (99)
! crystal system	tetragonal
! calculated volume	58.6	Å³/f.u.
! energy of formation from the pure elements	1.70	eV/f.u.
! final energy	-6.442	eV per atom
&SYSTEM
  ibrav = 0, nat = 4, ntyp = 3
/
ATOMIC_SPECIES
Co 58.93 Co.upf
Hg 200.59 Hg.upf
W 183.84 W.upf
CELL_PARAMETERS angstrom
2.7817 0.0079 0.0000
-0.0086 2.7816 0.0000
0.0000 0.0000 7.5724
ATOMIC_POSITIONS crystal
Co 0.0000 0.0000 0.0196
Co 0.5000 0.5000 0.2098
Hg 0.0000 0.0000 0.4811
W 0.5000 0.5000 0.7895

! TcHgMo3, optimized geometry, DFT PBE-GGA; values from VASP
! mass density	9.3	g/cm³
! SG	Pm-3m (221)
! E above lowest polymorph	0.000	eV/f.u.
! crystal system	cubic
! calculated volume	104.5	Å³/f.u.
! energy of formation from the pure elements	7.59	eV/f.u.
! final energy	-7.114	eV per atom
&SYSTEM
  ibrav = 0, nat = 5, ntyp = 3
/
ATOMIC_SPECIES
Mo 95.94 Mo.upf
Hg 200.59 Hg.upf
Tc 98.00 Tc.upf
CELL_PARAMETERS angstrom
4.7103 0.0000 0.0000
0.0000 4.7103 0.0000
0.0000 0.0000 4.7103
ATOMIC_POSITIONS crystal
Mo 0.0000 0.5000 0.0000
Mo 0.0000 0.0000 0.5000
Mo 0.5000 0.0000 0.0000
Hg 0.5000 0.5000 0.5000
Tc 0.0000 0.0000 0.0000

! Dy4Cd2AgHg, optimized geometry, DFT PBE-GGA; values from VASP
! mass density	9.6	g/cm³
! SG	R-3m (166)
! crystal system	trigonal
! calculated volume	204.6	Å³/f.u.
! energy of formation from the pure elements	-2.81	eV/f.u.
! final energy	-3.275	eV per atom
&SYSTEM
  ibrav = 0, nat = 8, ntyp = 4
/
ATOMIC_SPECIES
Dy 162.50 Dy.upf
Cd 112.41 Cd.upf
Ag 107.87 Ag.upf
Hg 200.59 Hg.upf
CELL_PARAMETERS angstrom
-1.7037 2.4967 4.2929
1.7437 -1.4380 4.7389
6.4761 5.9377 2.3273
ATOMIC_POSITIONS crystal
Dy 0.3760 0.3760 0.8719
Dy 0.8740 0.8740 0.3779
Dy 0.1260 0.1260 0.6221
Dy 0.6240 0.6240 0.1281
Cd 0.7501 0.7501 0.7498
Cd 0.2499 0.2499 0.2502
Ag 0.5000 0.5000 0.5000
Hg 0.0000 0.0000 0.0000

! CePr3Sm8, optimized geometry, DFT PBE-GGA; values from VASP
! mass density	6.6	g/cm³
! SG	I-42m (121)
! crystal system	tetragonal
! calculated volume	445.1	Å³/f.u.
! energy of formation from the pure elements	6.43	eV/f.u.
! final energy	-4.299	eV per atom
&SYSTEM
  ibrav = 0, nat = 12, ntyp = 3
/
ATOMIC_SPECIES
Ce 140.12 Ce.upf
Pr 140.91 Pr.upf
Sm 150.36 Sm.upf
CELL_PARAMETERS angstrom
7.6468 -0.4528 -3.6056
-4.4597 7.0891 -1.2383
-0.2849 0.4528 8.4494
ATOMIC_POSITIONS crystal
Ce 0.0000 0.0000 0.0000
Pr 0.5000 0.7500 0.2500
Pr 0.5000 0.2500 0.7500
Pr 0.0000 0.5000 0.5000
Sm 0.4713 0.2131 0.2131
Sm 0.5287 0.7418 0.7418
Sm 0.0000 0.7869 0.2582
Sm 0.0000 0.2582 0.7869
Sm 0.2446 0.3617 0.3617
Sm 0.7554 0.1171 0.1171
Sm 0.0000 0.6383 0.8829
Sm 0.0000 0.8829 0.6383

! NaHg2HPd, optimized geometry, DFT PBE-GGA; values from VASP
! mass density	9.6	g/cm³
! SG	P4/mmm (123)
! E above lowest polymorph	0.532	eV/f.u.
! crystal system	tetragonal
! calculated volume	92.2	Å³/f.u.
! final energy	-2.095	eV per atom
&SYSTEM
  ibrav = 0, nat = 5, ntyp = 4
/
ATOMIC_SPECIES
Na 22.99 Na.upf
Hg 200.59 Hg.upf
Pd 106.42 Pd.upf
H 1.01 H.upf
CELL_PARAMETERS angstrom
-3.4264 0.9674 -3.7126
-2.0185 -4.6877 0.6414
-2.2105 1.2764 2.3727
ATOMIC_POSITIONS crystal
Na 0.5000 0.5000 0.5000
Hg 0.0000 0.5000 0.0000
Hg 0.5000 0.0000 0.0000
Pd 0.0000 0.0000 0.5000
H 0.0000 0.0000 0.0000

! NaFeTcP2, optimized geometry, DFT PBE-GGA; values from VASP
! mass density	5.3	g/cm³
! SG	I-4m2 (119)
! crystal system	tetragonal
! calculated volume	75.0	Å³/f.u.
! energy of formation from the pure elements	-2.31	eV/f.u.
! final energy	-6.656	eV per atom
&SYSTEM
  ibrav = 0, nat = 5, ntyp = 4
/
ATOMIC_SPECIES
Na 22.99 Na.upf
Fe 55.84 Fe.upf
Tc 98.00 Tc.upf
P 30.97 P.upf
CELL_PARAMETERS angstrom
3.9773 0.0000 0.0000
0.0000 3.9773 0.0000
-1.9886 -1.9886 4.7419
ATOMIC_POSITIONS crystal
Na 0.0000 0.0000 0.0000
Fe 0.7500 0.2500 0.5000
Tc 0.2500 0.7500 0.5000
P 0.6292 0.6292 0.2584
P 0.3708 0.3708 0.7416

! SbAs2Br, optimized geometry, DFT PBE-GGA; values from VASP
! mass density	6.4	g/cm³
! SG	P4/mmm (123)
! E above lowest polymorph	2.040	eV/f.u.
! crystal system	tetragonal
! calculated volume	91.5	Å³/f.u.
! final energy	-3.300	eV per atom
&SYSTEM
  ibrav = 0, nat = 4, ntyp = 3
/
ATOMIC_SPECIES
Sb 121.76 Sb.upf
As 74.92 As.upf
Br 79.90 Br.upf
CELL_PARAMETERS angstrom
5.2620 0.0000 0.0000
0.0000 5.2620 0.0000
0.0000 0.0000 3.3056
ATOMIC_POSITIONS crystal
Sb 0.0000 0.5000 0.5000
As 0.0000 0.0000 0.0000
As 0.5000 0.5000 0.0000
Br 0.5000 0.0000 0.5000

! LiTlZnGe, optimized geometry, DFT PBE-GGA; values from VASP
! mass density	7.4	g/cm³
! SG	Pmmm (47)
! E above lowest polymorph	0.350	eV/f.u.
! crystal system	orthorhombic
! calculated volume	78.0	Å³/f.u.
! energy of formation from the pure elements	0.05	eV/f.u.
! final energy	-2.530	eV per atom
&SYSTEM
  ibrav = 0, nat = 4, ntyp = 4
/
ATOMIC_SPECIES
Li 6.94 Li.upf
Tl 204.38 Tl.upf
Zn 65.41 Zn.upf
Ge 72.64 Ge.upf
CELL_PARAMETERS angstrom
4.7142 0.0000 0.0000
0.0000 4.1499 0.0000
0.0000 0.0000 3.9849
ATOMIC_POSITIONS crystal
Li 0.5000 0.5000 0.0000
Tl 0.5000 0.0000 0.5000
Zn 0.0000 0.0000 0.0000
Ge 0.0000 0.5000 0.5000